No. 1
Material: LiNiSbMo
Method: DFT, PBE
State: relaxed

The space group is F-43m (No. 216) and the conventional cell measures 6.221, 6.221 and 6.221 Å, with angles of 90.00, 90.00 and 90.00 degrees. Symmetry generates all atoms from Li at (0.000, 0.000, 0.000), Ni at (0.000, 0.000, 0.500), Sb at (0.250, 0.250, 0.250) and Mo at (0.250, 0.250, 0.750).

The value obtained for the total moment is 0.710 μB per atom. Its total energy is -85.8 eV/cell. The density is 7.82 g cm⁻³.

***

No. 2
Material: LiNiSbMo
Method: DFT, PBE
State: relaxed

The space group is F-43m (No. 216) and the conventional cell measures 6.209, 6.209 and 6.209 Å, with angles of 90.00, 90.00 and 90.00 degrees. Symmetry generates all atoms from Li at (0.000, 0.000, 0.000), Ni at (0.250, 0.250, 0.750), Sb at (0.000, 0.000, 0.500) and Mo at (0.250, 0.250, 0.250).

The value obtained for the total moment is 0.139 μB per atom. Its total energy is -87.5 eV/cell. The density is 7.86 g cm⁻³.

***

Question: total energy of number 1 (LiNiSbMo)?
Answer: -85.8 eV/cell

***

Question: Which of these has the lowest total energy?
Answer: number 2

***

Question: What is the total moment in the second record?
Answer: 0.139 μB per atom